DFT (PBE) results for crystalline NaMgFeSe3 at its relaxed geometry.

Cell: 8.126 3.850 9.395 Å, 90.00 109.15 90.00°
Site moments in Bohr magnetons follow the coordinates.
Sites, in units of the cell vectors:
Fe 0.092 0.750 0.106  2.92
Fe 0.908 0.250 0.894  2.92
Mg 0.346 0.250 0.377  0.00
Mg 0.654 0.750 0.623  0.00
Na 0.784 0.250 0.277  0.00
Na 0.216 0.750 0.723  0.00
Se 0.218 0.250 0.024  0.08
Se 0.544 0.750 0.327  0.05
Se 0.090 0.750 0.352  0.14
Se 0.910 0.250 0.648  0.14
Se 0.456 0.250 0.673  0.05
Se 0.782 0.750 0.976  0.08

Computed properties:
Total energy: -25.9 eV per formula unit
Size of the total moment: 3.6 μB/f.u.
ρ: 4066 kg/m3